(1)
As3RuBr: optimized geometry, PBE.

The formation energy (no corrections) is 0.442 eV per atom. As for the crystal system: cubic. As for the space group: Pm-3m, No. 221. The value obtained for the distance to the lowest polymorph of the same formula is 0.0 meV/atom.

abc: 4.8445 4.8445 4.8445
angles: 90.00 90.00 90.00
Closest atoms and distances in Å follow each position.
Positions (direct):
As (0.0000, 0.0000, 0.5000)  2 Ru 2.42
As (0.0000, 0.5000, 0.0000)  2 Ru 2.42
As (0.5000, 0.0000, 0.0000)  2 Ru 2.42
Ru (0.0000, 0.0000, 0.0000)  6 As 2.42
Br (0.5000, 0.5000, 0.5000)  12 As 3.43

(2)
La2RhI: optimized geometry, PBE.

The formation energy (no corrections) is -1.055 eV per atom. As for the crystal system: trigonal. As for the space group: R-3m, No. 166. The value obtained for the distance to the lowest polymorph of the same formula is 0.0 meV/atom.

abc: 8.6407 8.6407 8.6407
angles: 28.37 28.37 28.37
Closest atoms and distances in Å follow each position.
Positions (direct):
La (0.2287, 0.2287, 0.2287)  3 Rh 2.89
La (0.7713, 0.7713, 0.7713)  3 Rh 2.89
Rh (0.5000, 0.5000, 0.5000)  6 La 2.89
I (0.0000, 0.0000, 0.0000)  6 La 3.57

(3)
NaCd2SnHg4: optimized geometry, PBE.

The calculation puts the formation energy at 0.017 eV/atom. As for the crystal system: tetragonal. As for the space group: P4/mmm, No. 123.

abc: 4.3292 4.3292 11.9408
angles: 90.00 90.00 90.00
Closest atoms and distances in Å follow each position.
Positions (direct):
Na (0.0000, 0.0000, 0.0000)  8 Hg 3.21
Cd (0.5000, 0.5000, 0.3811)  1 Cd 2.84, 4 Hg 3.07
Cd (0.5000, 0.5000, 0.6189)  1 Cd 2.84, 4 Hg 3.07
Sn (0.0000, 0.0000, 0.5000)  8 Cd 3.37
Hg (0.0000, 0.5000, 0.1983)  4 Hg 3.06, 2 Cd 3.07, 2 Na 3.21
Hg (0.0000, 0.5000, 0.8017)  4 Hg 3.06, 2 Cd 3.07, 2 Na 3.21
Hg (0.5000, 0.0000, 0.1983)  4 Hg 3.06, 2 Cd 3.07, 2 Na 3.21
Hg (0.5000, 0.0000, 0.8017)  4 Hg 3.06, 2 Cd 3.07, 2 Na 3.21

(4)
Cr2InAs: optimized geometry, PBE.

The calculation puts the formation energy at 0.380 eV/atom. As for the crystal system: tetragonal. As for the space group: P4/mmm, No. 123. The value obtained for the distance to the lowest polymorph of the same formula is 234.7 meV/atom.

abc: 4.4857 4.4857 3.6055
angles: 90.00 90.00 90.00
Closest atoms and distances in Å follow each position.
Positions (direct):
Cr (0.0000, 0.5000, 0.0000)  4 As 2.88, 4 In 2.88, 4 Cr 3.17
Cr (0.5000, 0.0000, 0.0000)  4 As 2.88, 4 In 2.88, 4 Cr 3.17
In (0.0000, 0.0000, 0.5000)  8 Cr 2.88, 4 As 3.17
As (0.5000, 0.5000, 0.5000)  8 Cr 2.88, 4 In 3.17

(5)
Ti5Ni2Ge: optimized geometry, PBE.

The calculation puts the formation energy at -0.377 eV/atom. As for the crystal system: tetragonal. As for the space group: I4/mcm, No. 140.

abc: 7.6999 7.6999 7.6999
angles: 132.27 132.27 69.80
Closest atoms and distances in Å follow each position.
Positions (direct):
Ti (0.0000, 0.0000, 0.0000)  4 Ni 2.43
Ti (0.0015, 0.5015, 0.8120)  2 Ge 2.64, 3 Ni 2.66-2.69, 2 Ti 2.75-2.93
Ti (0.1895, 0.0015, 0.5000)  2 Ge 2.64, 3 Ni 2.66-2.69, 2 Ti 2.75-2.93
Ti (0.3105, 0.8105, 0.8120)  2 Ge 2.64, 3 Ni 2.66-2.69, 2 Ti 2.75-2.93
Ti (0.4985, 0.3105, 0.5000)  2 Ge 2.64, 3 Ni 2.66-2.69, 2 Ti 2.75-2.93
Ti (0.5000, 0.5000, 0.0000)  4 Ni 2.43
Ti (0.5015, 0.6895, 0.5000)  2 Ge 2.64, 3 Ni 2.66-2.69, 2 Ti 2.75-2.93
Ti (0.6895, 0.1895, 0.1880)  2 Ge 2.64, 3 Ni 2.66-2.69, 2 Ti 2.75-2.93
Ti (0.8105, 0.9985, 0.5000)  2 Ge 2.64, 3 Ni 2.66-2.69, 2 Ti 2.75-2.93
Ti (0.9985, 0.4985, 0.1880)  2 Ge 2.64, 3 Ni 2.66-2.69, 2 Ti 2.75-2.93
Ni (0.1345, 0.3655, 0.5000)  1 Ni 2.37, 2 Ti 2.43
Ni (0.3655, 0.8655, 0.2310)  1 Ni 2.37, 2 Ti 2.43
Ni (0.6345, 0.1345, 0.7690)  1 Ni 2.37, 2 Ti 2.43
Ni (0.8655, 0.6345, 0.5000)  1 Ni 2.37, 2 Ti 2.43
Ge (0.2500, 0.2500, 0.0000)  8 Ti 2.64
Ge (0.7500, 0.7500, 0.0000)  8 Ti 2.64

(6)
Cu2TcBr: optimized geometry, PBE.

The formation energy (no corrections) is 0.837 eV per atom. As for the crystal system: tetragonal. As for the space group: I-42d, No. 122. The value obtained for the distance to the lowest polymorph of the same formula is 324.5 meV/atom.

abc: 5.6850 5.6850 5.6850
angles: 101.56 101.56 126.82
Closest atoms and distances in Å follow each position.
Positions (direct):
Cu (0.1217, 0.1250, 0.4967)  2 Cu 2.55, 2 Br 2.60, 2 Tc 2.64
Cu (0.3750, 0.8783, 0.0033)  2 Cu 2.55, 2 Br 2.60, 2 Tc 2.64
Cu (0.6283, 0.6250, 0.5033)  2 Cu 2.55, 2 Br 2.60, 2 Tc 2.64
Cu (0.8750, 0.3717, 0.9967)  2 Cu 2.55, 2 Br 2.60, 2 Tc 2.64
Tc (0.2500, 0.7500, 0.5000)  2 Br 2.54, 4 Cu 2.64
Tc (0.5000, 0.5000, 0.0000)  2 Br 2.54, 4 Cu 2.64
Br (0.0000, 0.0000, 0.0000)  2 Tc 2.54, 4 Cu 2.60
Br (0.7500, 0.2500, 0.5000)  2 Tc 2.54, 4 Cu 2.60

(7)
CeDy2Sn: optimized geometry, PBE.

The calculation puts the formation energy at -0.190 eV/atom. As for the crystal system: cubic. As for the space group: Fm-3m, No. 225. The value obtained for the distance to the lowest polymorph of the same formula is 204.1 meV/atom.

abc: 5.3741 5.3741 5.3741
angles: 60.00 60.00 60.00
Closest atoms and distances in Å follow each position.
Positions (direct):
Ce (0.0000, 0.0000, 0.0000)  8 Dy 3.29
Dy (0.2500, 0.2500, 0.2500)  4 Ce 3.29, 4 Sn 3.29
Dy (0.7500, 0.7500, 0.7500)  4 Sn 3.29, 4 Ce 3.29
Sn (0.5000, 0.5000, 0.5000)  8 Dy 3.29

(8)
FeSbTe2Pd: optimized geometry, PBE.

The formation energy (no corrections) is 0.542 eV per atom. As for the crystal system: tetragonal. As for the space group: P4/mmm, No. 123. The value obtained for the distance to the lowest polymorph of the same formula is 0.0 meV/atom.

abc: 5.0658 5.0658 4.7741
angles: 90.00 90.00 90.00
Closest atoms and distances in Å follow each position.
Positions (direct):
Fe (0.0000, 0.0000, 0.0000)  2 Sb 2.39, 4 Te 2.53
Sb (0.0000, 0.0000, 0.5000)  2 Fe 2.39
Te (0.0000, 0.5000, 0.0000)  2 Fe 2.53
Te (0.5000, 0.0000, 0.0000)  2 Fe 2.53
Pd (0.5000, 0.5000, 0.5000)  8 Te 3.48, 4 Sb 3.58

(9)
PmAlNi2H: optimized geometry, PBE.

The calculation puts the raw total energy at -5.19 eV per atom. As for the crystal system: orthorhombic. As for the space group: Cmcm, No. 63.

abc: 5.6216 5.6216 6.9517
angles: 90.00 90.00 140.46
Closest atoms and distances in Å follow each position.
Positions (direct):
Pm (0.0642, 0.9358, 0.7500)  4 H 2.66
Pm (0.9358, 0.0642, 0.2500)  4 H 2.66
Al (0.2178, 0.7822, 0.2500)  6 Ni 2.41-2.50
Al (0.7822, 0.2178, 0.7500)  6 Ni 2.41-2.50
Ni (0.3407, 0.6593, 0.5568)  1 H 1.73
Ni (0.3407, 0.6593, 0.9432)  1 H 1.73
Ni (0.6593, 0.3407, 0.0568)  1 H 1.73
Ni (0.6593, 0.3407, 0.4432)  1 H 1.73
H (0.5000, 0.5000, 0.0000)  2 Ni 1.73
H (0.5000, 0.5000, 0.5000)  2 Ni 1.73

(10)
Y2CdGe: optimized geometry, PBE.

The calculation puts the formation energy at -0.255 eV/atom. As for the crystal system: tetragonal. As for the space group: I-42d, No. 122.

abc: 6.6227 6.6227 6.6227
angles: 105.96 105.96 116.74
Closest atoms and distances in Å follow each position.
Positions (direct):
Y (0.1001, 0.6250, 0.9751)  2 Ge 2.82, 2 Cd 3.09
Y (0.3750, 0.3501, 0.4751)  2 Ge 2.82, 2 Cd 3.09
Y (0.6499, 0.1250, 0.0249)  2 Ge 2.82, 2 Cd 3.09
Y (0.8750, 0.8999, 0.5249)  2 Ge 2.82, 2 Cd 3.09
Cd (0.2500, 0.7500, 0.5000)  4 Y 3.09
Cd (0.5000, 0.5000, 0.0000)  4 Y 3.09
Ge (0.0000, 0.0000, 0.0000)  4 Y 2.82
Ge (0.7500, 0.2500, 0.5000)  4 Y 2.82

(11)
CdSi2Ni: optimized geometry, PBE.

The formation energy (no corrections) is 0.099 eV per atom. As for the crystal system: trigonal. As for the space group: R-3m, No. 166.

abc: 8.1339 8.1339 8.1339
angles: 21.40 21.40 21.40
Closest atoms and distances in Å follow each position.
Positions (direct):
Cd (0.0000, 0.0000, 0.0000)  6 Si 2.94, 6 Cd 3.02
Si (0.2340, 0.2340, 0.2340)  3 Ni 2.37
Si (0.7660, 0.7660, 0.7660)  3 Ni 2.37
Ni (0.5000, 0.5000, 0.5000)  6 Si 2.37

(12)
NbRhAu: optimized geometry, PBE.

The calculation puts the formation energy at -0.302 eV/atom. As for the crystal system: tetragonal. As for the space group: I4mm, No. 107. The value obtained for the distance to the lowest polymorph of the same formula is 0.0 meV/atom.

abc: 4.9892 4.9892 4.9892
angles: 140.18 140.18 57.58
Closest atoms and distances in Å follow each position.
Positions (direct):
Nb (0.0000, 0.0000, 0.0000)  4 Rh 2.71, 5 Au 2.81-2.87
Rh (0.6423, 0.6423, 0.0000)  4 Nb 2.71, 5 Au 2.81-2.87
Au (0.3215, 0.3215, 0.0000)  5 Rh 2.81-2.87, 5 Nb 2.81-2.87